# CsRb2ScCl6 | Alexandria via LeMat-Bulk | SCAN | single point on PBEsol structure
data_CsRb2ScCl6
_chemical_formula_sum 'Cs1 Rb2 Sc1 Cl6'
_cell_length_a 7.970
_cell_length_b 7.970
_cell_length_c 7.970
_cell_angle_alpha 60.00
_cell_angle_beta 60.00
_cell_angle_gamma 60.00
_symmetry_space_group_name_H-M 'P 1'
_symmetry_Int_Tables_number 1
_symmetry_space_group_name_Hall 'P 1'
loop_
_atom_site_label
_atom_site_type_symbol
_atom_site_fract_x
_atom_site_fract_y
_atom_site_fract_z
Cs1 Cs 0.000 0.000 0.000
Rb1 Rb 0.250 0.250 0.250
Rb2 Rb 0.750 0.750 0.750
Sc1 Sc 0.500 0.500 0.500
Cl1 Cl 0.281 0.281 0.719
Cl2 Cl 0.281 0.719 0.281
Cl3 Cl 0.281 0.719 0.719
Cl4 Cl 0.719 0.281 0.281
Cl5 Cl 0.719 0.281 0.719
Cl6 Cl 0.719 0.719 0.281
# E in eV per cell: -163.7
# N(E_F) in states/eV per cell: 0.0
# Space group: Fm-3m, No. 225
# Raw formation energy in meV/atom: -2226
# Crystal system: cubic